Record 1
{
  "formula": "Ac5GaGe6",
  "functional": "PBE-GGA",
  "state": "relaxed",
  "dos_at_fermi_per_ev_atom": 0.370,
  "rho_kg_m3": 7541,
  "spacegroup": "C2/m, No. 12",
  "energy_ev_per_atom": -4.88,
  "magnetic_moment_mub_per_fu": 0.0,
  "lattice_angstrom": [[-3.298, -0.686, -5.163], [-3.756, -6.846, -0.546], [-8.415, -0.135, 3.466]],
  "species": ["Ac", "Ac", "Ac", "Ac", "Ac", "Ga", "Ge", "Ge", "Ge", "Ge", "Ge", "Ge"],
  "fractional_positions": [[0.500, 0.112, 0.776], [0.000, 0.314, 0.372], [0.500, 0.500, 0.000], [0.000, 0.686, 0.628], [0.500, 0.888, 0.224], [0.000, 0.000, 0.000], [0.614, 0.122, 0.399], [0.386, 0.479, 0.399], [0.097, 0.316, 0.000], [0.903, 0.684, 0.000], [0.614, 0.521, 0.601], [0.386, 0.878, 0.601]]
}

---

Record 2
{
  "formula": "AcGa4Ge3",
  "functional": "PBE-GGA",
  "state": "relaxed",
  "dos_at_fermi_per_ev_atom": 0.372,
  "rho_kg_m3": 6828,
  "spacegroup": "P4/mmm, No. 123",
  "energy_ev_per_atom": -3.95,
  "magnetic_moment_mub_per_fu": 0.0,
  "lattice_angstrom": [[-0.626, -4.874, -0.358], [4.611, -0.709, 1.585], [-2.383, -0.196, 6.847]],
  "species": ["Ac", "Ge", "Ge", "Ge", "Ga", "Ga", "Ga", "Ga"],
  "fractional_positions": [[0.000, 0.000, 0.500], [0.000, 0.000, 0.000], [0.500, 0.500, 0.325], [0.500, 0.500, 0.675], [0.500, 0.000, 0.180], [0.000, 0.500, 0.180], [0.500, 0.000, 0.820], [0.000, 0.500, 0.820]]
}